Entry from Alexandria: a relaxed Tb6Pr3Nd2Pb crystal (PBE).

Output
Volume (A^3/atom): 32.59
Total magnetization (μB/f.u.): 0.000
D(E_F) (states/eV/cell): 27.97
Formation energy from the elements (meV per atom): -67

```
data_Tb6Pr3Nd2Pb
_chemical_formula_sum 'Tb12 Pr6 Nd4 Pb2'
_symmetry_space_group_name_H-M 'C 1 2/m 1'
_symmetry_Int_Tables_number 12
_cell_length_a 6.211
_cell_length_b 10.760
_cell_length_c 11.887
_cell_angle_alpha 90.00
_cell_angle_beta 100.11
_cell_angle_gamma 90.00
loop_
_symmetry_equiv_pos_as_xyz
'x,y,z'
'-x,-y,-z'
'-x,y,-z'
'x,-y,z'
'x+1/2,y+1/2,z'
'-x+1/2,-y+1/2,-z'
'-x+1/2,y+1/2,-z'
'x+1/2,-y+1/2,z'
loop_
_atom_site_label
_atom_site_type_symbol
_atom_site_fract_x
_atom_site_fract_y
_atom_site_fract_z
Tb1 Tb 0.244 0.000 0.253
Tb2 Tb 0.244 0.163 0.746
Pr1 Pr 0.000 0.168 0.000
Pr2 Pr 0.000 0.500 0.000
Nd1 Nd 0.000 0.334 0.500
Pb1 Pb 0.000 0.000 0.500
```